# ZrReP3

A relaxed ZrReP3 crystal (GGA-PBE, the Alexandria database).

a = 4.8538 Å, b = 4.8538 Å, c = 4.8538 Å
α = 90.00°, β = 90.00°, γ = 90.00°
Last column: nearest neighbours and their distance in Å.
Fractional coordinates of all 5 atoms:
Zr1 0.0000 0.0000 0.0000  6 P 2.43
P1 0.5000 0.0000 0.0000  2 Zr 2.43
P2 0.0000 0.5000 0.0000  2 Zr 2.43
P3 0.0000 0.0000 0.5000  2 Zr 2.43
Re1 0.5000 0.5000 0.5000  12 P 3.43

Results
Symmetry: Pm-3m
Formation energy from the elements: 1.59 eV/atom

# Zr2ReP

A relaxed Zr2ReP crystal (GGA-PBE, the Alexandria database).

a = 7.6887 Å, b = 7.6887 Å, c = 7.6887 Å
α = 25.77°, β = 25.77°, γ = 25.77°
Last column: nearest neighbours and their distance in Å.
Fractional coordinates of all 4 atoms:
Zr1 0.2430 0.2430 0.2430  3 P 2.61, 3 Re 2.82
Zr2 0.7570 0.7570 0.7570  3 P 2.61, 3 Re 2.82
Re1 0.0000 0.0000 0.0000  6 Zr 2.82
P1 0.5000 0.5000 0.5000  6 Zr 2.61

Results
Symmetry: R-3m
Formation energy from the elements: -0.45 eV/atom

# Zr2ReP

A relaxed Zr2ReP crystal (GGA-PBE, the Alexandria database).

a = 3.1481 Å, b = 3.1481 Å, c = 7.3200 Å
α = 90.00°, β = 90.00°, γ = 90.00°
Last column: nearest neighbours and their distance in Å.
Fractional coordinates of all 4 atoms:
P1 0.0000 0.0000 0.5499  4 Re 2.48
Re1 0.5000 0.5000 0.6997  4 P 2.48
Zr1 0.5000 0.5000 0.2858  4 P 2.95, 1 Re 3.03, 8 Zr 3.15-3.24
Zr2 0.0000 0.0000 0.9646  4 Re 2.95, 1 P 3.04, 8 Zr 3.15-3.24

Results
Symmetry: P4mm
Formation energy from the elements: -0.32 eV/atom

Question: Among the records above, which one has the highest formation energy from the elements?
Answer: ZrReP3